RbInNi2Au: relaxed, GGA-PBE.

Unit cell a=5.0521 b=5.0521 c=5.1868 alpha=90.00 beta=90.00 gamma=90.00
Closest atoms and distances in Å follow each position.
Space group P4/mmm (No. 123)
One atom of each set of equivalent atoms:
Rb 0.0000 0.0000 0.0000 x1  4 In 3.57, 8 Ni 3.62
In 0.5000 0.5000 0.0000 x1  2 Au 2.59
Ni 0.0000 0.5000 0.5000 x2  2 Au 2.53
Au 0.5000 0.5000 0.5000 x1  4 Ni 2.53, 2 In 2.59

The value obtained for the magnetic moment is 0.249 μB/atom. The raw total energy is -3.0826 eV/atom. The calculation puts the formation energy at 0.63 eV per atom.

***

ScAsCl2: relaxed, GGA-PBE.

Unit cell a=9.1062 b=9.1062 c=5.4910 alpha=90.00 beta=90.00 gamma=90.00
Closest atoms and distances in Å follow each position.
Space group I-42d (No. 122)
One atom of each set of equivalent atoms:
Sc 0.0000 0.0000 0.0000 x4  4 Cl 2.56, 2 As 2.75
As 0.0000 0.0000 0.5000 x4  2 Sc 2.75
Cl 0.1040 0.2500 0.1250 x8  2 Sc 2.56

The value obtained for the magnetic moment is 0.500 μB/atom. The raw total energy is -4.6127 eV/atom. As for the polymorph energy (0 for the lowest one): 214 meV per atom. Its uncorrected formation energy is -944 meV/atom.

***

NiHRu2: relaxed, GGA-PBE.

Unit cell a=5.6232 b=5.6232 c=5.6232 alpha=90.00 beta=90.00 gamma=90.00
Closest atoms and distances in Å follow each position.
Space group Fm-3m (No. 225)
One atom of each set of equivalent atoms:
Ni 0.0000 0.0000 0.0000 x4  8 Ru 2.43
H 0.0000 0.0000 0.5000 x4  8 Ru 2.43
Ru 0.2500 0.2500 0.2500 x8  4 H 2.43, 4 Ni 2.43

The value obtained for the magnetic moment is 0.000 μB/atom. The raw total energy is -6.2985 eV/atom. As for the polymorph energy (0 for the lowest one): 318 meV per atom.

***

Question: Look up the magnetic moment of the first one.
Answer: 0.249 μB/atom

***

Question: What is the raw total energy in the second record?
Answer: -4.6127 eV/atom

***

Question: The highest magnetic moment belongs to which entry?
Answer: ScAsCl2